Record 1
Compound: ReHgAu
Source: the Alexandria database
Functional: GGA-PBE
Structure: relaxed

Lattice parameters (Å, degrees): 4.5069 4.5069 4.5069 60.00 60.00 60.00
With the nearest neighbours (Å) after each atom.
Atoms (fractional coordinates):
Re 0.7500 0.7500 0.7500  4 Au 2.76, 4 Hg 2.76
Au 0.0000 0.0000 0.0000  4 Re 2.76
Hg 0.5000 0.5000 0.5000  4 Re 2.76

Summary:
ΔH_f (0 K): 1195.2 meV per atom
ΔE to the lowest computed polymorph: 604 meV/atom
DOS(E_F): 2.6 states/eV/f.u.
Space-group type: No. 216
Total moment: 2.109 μB/f.u.
Final energy: -4.15 eV/atom



Record 2
Compound: SmCoGe2
Source: the Alexandria database
Functional: GGA-PBE
Structure: relaxed

Lattice parameters (Å, degrees): 4.1776 6.9077 10.2457 90.00 90.00 90.00
With the nearest neighbours (Å) after each atom.
Atoms (fractional coordinates):
Co 0.2500 0.0104 0.3717  5 Ge 2.30-2.42
Sm 0.7500 0.1728 0.1273  9 Ge 3.07-3.39, 3 Co 3.13-3.41
Co 0.7500 0.4896 0.8717  5 Ge 2.30-2.42
Ge 0.7500 0.6565 0.0699  3 Co 2.33-2.40
Ge 0.2500 0.3547 0.3269  2 Co 2.30-2.42
Sm 0.2500 0.8272 0.8727  9 Ge 3.07-3.39, 3 Co 3.13-3.41
Ge 0.7500 0.1565 0.4301  3 Co 2.33-2.40
Ge 0.2500 0.8435 0.5699  3 Co 2.33-2.40
Ge 0.2500 0.3435 0.9301  3 Co 2.33-2.40
Co 0.7500 0.9896 0.6283  5 Ge 2.30-2.42
Ge 0.7500 0.6453 0.6731  2 Co 2.30-2.42
Ge 0.2500 0.8547 0.1731  2 Co 2.30-2.42
Sm 0.2500 0.3272 0.6273  9 Ge 3.07-3.39, 3 Co 3.13-3.41
Sm 0.7500 0.6728 0.3727  9 Ge 3.07-3.39, 3 Co 3.13-3.41
Co 0.2500 0.5104 0.1283  5 Ge 2.30-2.42
Ge 0.7500 0.1453 0.8269  2 Co 2.30-2.42

Summary:
ΔH_f (0 K): -637.4 meV per atom
DOS(E_F): 2.6 states/eV/f.u.
Space-group type: No. 62
Total moment: 0.000 μB/f.u.
Final energy: -5.90 eV/atom



Record 3
Compound: Pr4CdPd3
Source: the Alexandria database
Functional: GGA-PBE
Structure: relaxed

Lattice parameters (Å, degrees): 3.9308 4.7452 11.3050 90.00 90.00 90.00
With the nearest neighbours (Å) after each atom.
Atoms (fractional coordinates):
Pr 0.5000 0.0000 0.6348  7 Pd 3.12-3.18
Pd 0.0000 0.0000 0.4205  2 Pd 3.01, 7 Pr 3.08-3.13
Pr 0.0000 0.5000 0.8477  5 Pd 2.98-3.18, 2 Cd 3.23
Cd 0.5000 0.5000 0.0749  2 Pd 2.98, 6 Pr 3.19-3.23
Pd 0.0000 0.5000 0.5841  7 Pr 2.98-3.13, 2 Pd 3.01
Pd 0.5000 0.0000 0.9157  2 Cd 2.98, 7 Pr 3.18-3.28
Pr 0.5000 0.5000 0.3737  6 Pd 3.09-3.13, 1 Cd 3.38
Pr 0.0000 0.0000 0.1485  3 Pd 3.08-3.28, 4 Cd 3.19

Summary:
ΔH_f (0 K): -630.7 meV per atom
DOS(E_F): 6.6 states/eV/f.u.
Space-group type: No. 25
Total moment: 0.000 μB/f.u.
Final energy: -5.08 eV/atom



Record 4
Compound: ErScCdRu
Source: the Alexandria database
Functional: GGA-PBE
Structure: relaxed

Lattice parameters (Å, degrees): 3.3562 3.3562 7.4146 90.00 90.00 90.00
With the nearest neighbours (Å) after each atom.
Atoms (fractional coordinates):
Cd 0.0000 0.0000 0.0896  4 Sc 3.09, 4 Er 3.28, 4 Cd 3.36, 1 Ru 3.45
Sc 0.5000 0.5000 0.3562  4 Ru 2.79, 4 Cd 3.09
Ru 0.0000 0.0000 0.5545  4 Sc 2.79, 4 Er 2.92
Er 0.5000 0.5000 0.7845  4 Ru 2.92, 1 Sc 3.18

Summary:
ΔH_f (0 K): -471.2 meV per atom
ΔE to the lowest computed polymorph: 0 meV/atom
DOS(E_F): 3.2 states/eV/f.u.
Space-group type: No. 99
Total moment: 0.000 μB/f.u.
Final energy: -5.74 eV/atom



Record 5
Compound: CeEuDyIn
Source: the Alexandria database
Functional: GGA-PBE
Structure: relaxed

Lattice parameters (Å, degrees): 5.5165 5.5165 5.5165 60.00 60.00 60.00
With the nearest neighbours (Å) after each atom.
Atoms (fractional coordinates):
In 0.2500 0.2500 0.2500  4 Dy 3.38, 4 Eu 3.38
Ce 0.7500 0.7500 0.7500  4 Eu 3.38, 4 Dy 3.38
Eu 0.0000 0.0000 0.0000  4 In 3.38, 4 Ce 3.38
Dy 0.5000 0.5000 0.5000  4 Ce 3.38, 4 In 3.38

Summary:
ΔH_f (0 K): -42.8 meV per atom
DOS(E_F): 7.9 states/eV/f.u.
Space-group type: No. 216
Total moment: 10.656 μB/f.u.
Final energy: -5.93 eV/atom



Record 6
Compound: CrGeIr3
Source: the Alexandria database
Functional: GGA-PBE
Structure: relaxed

Lattice parameters (Å, degrees): 4.5360 4.5360 4.5360 90.00 90.00 90.00
With the nearest neighbours (Å) after each atom.
Atoms (fractional coordinates):
Ge 0.0000 0.0000 0.0000  6 Ir 2.27
Ir 0.0000 0.5000 0.0000  2 Ge 2.27
Ir 0.0000 0.0000 0.5000  2 Ge 2.27
Ir 0.5000 0.0000 0.0000  2 Ge 2.27
Cr 0.5000 0.5000 0.5000  12 Ir 3.21

Summary:
ΔH_f (0 K): 1138.3 meV per atom
ΔE to the lowest computed polymorph: 0 meV/atom
DOS(E_F): 7.6 states/eV/f.u.
Space-group type: No. 221
Total moment: 3.139 μB/f.u.
Final energy: -7.03 eV/atom



Record 7
Compound: Li3TmPb6
Source: the Alexandria database
Functional: GGA-PBE
Structure: relaxed

Lattice parameters (Å, degrees): 4.9010 9.6892 10.9428 97.97 90.00 90.00
With the nearest neighbours (Å) after each atom.
Atoms (fractional coordinates):
Pb 0.2500 0.2652 0.5197  4 Li 2.99-3.29, 2 Tm 3.30
Li 0.7500 0.4350 0.5889  8 Pb 2.99-3.29
Pb 0.7500 0.4003 0.3071  5 Li 3.06-3.21, 2 Pb 3.38
Pb 0.7500 0.5203 0.8903  7 Li 3.09-3.35, 3 Pb 3.28-3.42
Li 0.2500 0.7440 0.9754  10 Pb 3.12-3.48
Pb 0.7500 0.1606 0.7062  4 Li 3.11-3.48, 3 Tm 3.38-3.43, 2 Pb 3.43
Pb 0.2500 0.5997 0.6929  5 Li 3.06-3.21, 2 Pb 3.38
Pb 0.7500 0.7348 0.4803  4 Li 2.99-3.29, 2 Tm 3.30
Pb 0.2500 0.1733 0.2047  8 Pb 3.28-3.51, 2 Li 3.31, 2 Tm 3.44
Pb 0.2500 0.8394 0.2938  4 Li 3.11-3.48, 3 Tm 3.38-3.43, 2 Pb 3.43
Li 0.2500 0.3331 0.8143  8 Pb 3.01-3.35
Tm 0.2500 0.9319 0.6080  10 Pb 3.30-3.50
Li 0.2500 0.5650 0.4111  8 Pb 2.99-3.29
Pb 0.2500 0.4797 0.1097  7 Li 3.09-3.35, 3 Pb 3.28-3.42
Tm 0.7500 0.0681 0.3920  10 Pb 3.30-3.50
Li 0.7500 0.6669 0.1857  8 Pb 3.01-3.35
Pb 0.7500 0.8267 0.7953  8 Pb 3.28-3.51, 2 Li 3.31, 2 Tm 3.44
Pb 0.2500 0.0548 0.9076  4 Li 3.01-3.28, 1 Pb 3.29, 1 Tm 3.33
Pb 0.7500 0.9452 0.0924  4 Li 3.01-3.28, 1 Pb 3.29, 1 Tm 3.33
Li 0.7500 0.2560 0.0246  10 Pb 3.12-3.48

Summary:
ΔH_f (0 K): -219.4 meV per atom
DOS(E_F): 3.4 states/eV/f.u.
Space-group type: No. 11
Total moment: 0.000 μB/f.u.
Final energy: -3.47 eV/atom



Record 8
Compound: La4CdRe
Source: the Alexandria database
Functional: GGA-PBE
Structure: relaxed

Lattice parameters (Å, degrees): 6.2412 6.2412 6.2412 60.00 60.00 60.00
With the nearest neighbours (Å) after each atom.
Atoms (fractional coordinates):
Cd 0.0000 0.0000 0.0000  12 La 3.66, 4 Re 3.82
La 0.3768 0.8697 0.3768  6 La 3.08-3.16
La 0.3768 0.3768 0.3768  6 La 3.08-3.16
La 0.8697 0.3768 0.3768  6 La 3.08-3.16
Re 0.7500 0.7500 0.7500  12 La 3.65, 4 Cd 3.82
La 0.3768 0.3768 0.8697  6 La 3.08-3.16

Summary:
ΔH_f (0 K): 848.9 meV per atom
ΔE to the lowest computed polymorph: 948 meV/atom
DOS(E_F): 9.1 states/eV/f.u.
Space-group type: No. 216
Total moment: 0.035 μB/f.u.
Final energy: -4.66 eV/atom



Number 1 is which compound? ReHgAu



ΔH_f (0 K) of number 6 (CrGeIr3)? 1138.3 meV per atom



Which formula does entry 8 have? La4CdRe